[1]
First-principles (PBE) data for an optimized crystal structure of NiAg2Cl, as listed in Alexandria.

Properties
Energy relative to the lowest polymorph listed for this composition = 109 meV per atom
ΔE_f (raw) = 0.157 eV per atom
Total DFT energy (no corrections) = -12.70 eV/cell

Lattice parameters (Å, degrees): 3.1479 3.2673 7.1123 90.00 90.82 90.00
With the nearest neighbours (Å) after each atom.
Space group P2/m (No. 10)
Inequivalent atoms, fractional coordinates:
Ni: 0.0000 0.0000 0.0000 [1 per cell]  8 Ag 2.69
Ag: 0.4932 0.5000 0.7957 [2 per cell]  2 Cl 2.66, 4 Ni 2.69, 1 Ag 2.91
Cl: 0.5000 0.0000 0.5000 [1 per cell]  4 Ag 2.66

=====

[2]
First-principles (PBE) data for an optimized crystal structure of Na3InPd4, as listed in Alexandria.

Properties
E_form = -0.0735 eV/atom
Total DFT energy (no corrections) = -56.11 eV/cell

Lattice parameters (Å, degrees): 5.8623 9.5069 5.7534 90.00 90.00 90.00
With the nearest neighbours (Å) after each atom.
Space group Imm2 (No. 44)
Inequivalent atoms, fractional coordinates:
Na: 0.0000 0.0000 0.0000 [2 per cell]  2 Pd 2.79, 2 Na 2.87, 2 In 3.01
Na: 0.0000 0.2732 0.7877 [4 per cell]  6 Pd 2.80-3.02, 1 Na 2.87
In: 0.0000 0.5000 0.3780 [2 per cell]  4 Pd 2.62-2.66
Pd: 0.0000 0.2278 0.3067 [4 per cell]  1 In 2.62, 4 Na 2.79-2.93, 2 Pd 2.80
Pd: 0.2339 0.0000 0.5027 [4 per cell]  1 In 2.66, 3 Pd 2.74-2.80, 2 Na 2.93

=====

[3]
First-principles (PBE) data for an optimized crystal structure of NaPm2NpO8, as listed in Alexandria.

Properties
ΔE_f (raw) = -2.542 eV per atom
Total DFT energy (no corrections) = -93.93 eV/cell

Lattice parameters (Å, degrees): 3.9374 5.9660 7.0574 90.46 94.58 90.12
With the nearest neighbours (Å) after each atom.
Space group P-1 (No. 2)
Inequivalent atoms, fractional coordinates:
Na: 0.0000 0.0000 0.0000 [1 per cell]  6 O 2.40-2.60
Pm: 0.3012 0.5102 0.7262 [2 per cell]  6 O 2.30-2.50
Np: 0.0000 0.0000 0.5000 [1 per cell]  4 O 1.97
O: 0.1287 0.4150 0.0391 [2 per cell]  1 O 1.51
O: 0.1897 0.7947 0.3148 [2 per cell]  1 Np 1.97
O: 0.2239 0.3297 0.4364 [2 per cell]  1 Np 2.22, 3 Pm 2.30-2.48
O: 0.2934 0.9084 0.7248 [2 per cell]  1 Np 1.97

=====

[4]
First-principles (PBE) data for an optimized crystal structure of PrYGeAu, as listed in Alexandria.

Properties
E_form = -0.7280 eV/atom
Total DFT energy (no corrections) = -88.20 eV/cell

Lattice parameters (Å, degrees): 7.3418 7.3418 7.3418 90.00 90.00 90.00
With the nearest neighbours (Å) after each atom.
Space group F-43m (No. 216)
Inequivalent atoms, fractional coordinates:
Pr: 0.0000 0.0000 0.0000 [4 per cell]  4 Au 3.18, 4 Ge 3.18
Y: 0.0000 0.0000 0.5000 [4 per cell]  4 Ge 3.18, 4 Au 3.18
Ge: 0.2500 0.2500 0.2500 [4 per cell]  4 Pr 3.18, 4 Y 3.18
Au: 0.2500 0.2500 0.7500 [4 per cell]  4 Y 3.18, 4 Pr 3.18

=====

[5]
First-principles (PBE) data for an optimized crystal structure of Er3CuPd, as listed in Alexandria.

Properties
Energy relative to the lowest polymorph listed for this composition = 89 meV per atom
E_form = -0.3707 eV/atom
Total DFT energy (no corrections) = -49.66 eV/cell

Lattice parameters (Å, degrees): 3.7220 6.9778 9.4592 90.00 90.00 90.00
With the nearest neighbours (Å) after each atom.
Space group Pmmn (No. 59, origin choice 2)
Inequivalent atoms, fractional coordinates:
Er: 0.2500 0.0052 0.1831 [4 per cell]  3 Cu 2.81-2.90, 2 Pd 2.91
Er: 0.2500 0.2500 0.5554 [2 per cell]  2 Pd 2.79
Cu: 0.2500 0.2500 0.9359 [2 per cell]  6 Er 2.81-2.90
Pd: 0.2500 0.7500 0.6647 [2 per cell]  6 Er 2.79-2.91

=====

[6]
First-principles (PBE) data for an optimized crystal structure of ScHgIr, as listed in Alexandria.

Properties
Energy relative to the lowest polymorph listed for this composition = 153 meV per atom
E_form = -0.3025 eV/atom
Total DFT energy (no corrections) = -65.61 eV/cell

Lattice parameters (Å, degrees): 3.5603 3.5603 19.9967 90.00 90.00 90.00
With the nearest neighbours (Å) after each atom.
Space group I4/mmm (No. 139)
Inequivalent atoms, fractional coordinates:
Sc: 0.0000 0.0000 0.1035 [4 per cell]  4 Ir 2.64
Hg: 0.0000 0.0000 0.2961 [4 per cell]  1 Ir 2.81, 4 Hg 3.12
Ir: 0.0000 0.0000 0.4366 [4 per cell]  1 Ir 2.54, 4 Sc 2.64, 1 Hg 2.81

=====

[7]
First-principles (PBE) data for an optimized crystal structure of Tl2CoBi, as listed in Alexandria.

Properties
Energy relative to the lowest polymorph listed for this composition = 36 meV per atom
E_form = 0.6392 eV/atom
Total DFT energy (no corrections) = -52.65 eV/cell

Lattice parameters (Å, degrees): 7.4552 7.4552 7.4552 90.00 90.00 90.00
With the nearest neighbours (Å) after each atom.
Space group Fm-3m (No. 225)
Inequivalent atoms, fractional coordinates:
Tl: 0.2500 0.2500 0.2500 [8 per cell]  4 Bi 3.23, 4 Co 3.23
Co: 0.0000 0.0000 0.0000 [4 per cell]  8 Tl 3.23
Bi: 0.0000 0.0000 0.5000 [4 per cell]  8 Tl 3.23

=====

[8]
First-principles (PBE) data for an optimized crystal structure of Li2CdNiH, as listed in Alexandria.

Properties
Total DFT energy (no corrections) = -14.70 eV/cell

Lattice parameters (Å, degrees): 4.0219 4.0219 3.6472 90.00 90.00 90.00
With the nearest neighbours (Å) after each atom.
Space group P4/mmm (No. 123)
Inequivalent atoms, fractional coordinates:
Li: 0.0000 0.5000 0.0000 [2 per cell]  2 H 2.01
Cd: 0.0000 0.0000 0.5000 [1 per cell]  8 Li 2.71, 4 Ni 2.84
Ni: 0.5000 0.5000 0.5000 [1 per cell]  2 H 1.82
H: 0.5000 0.5000 0.0000 [1 per cell]  2 Ni 1.82, 4 Li 2.01

=====

[9]
First-principles (PBE) data for an optimized crystal structure of Cd13Hg2, as listed in Alexandria.

Properties
Energy relative to the lowest polymorph listed for this composition = 93 meV per atom
E_form = 0.1155 eV/atom
Total DFT energy (no corrections) = -32.30 eV/cell

Lattice parameters (Å, degrees): 8.1297 8.1297 22.2963 90.00 90.00 120.00
With the nearest neighbours (Å) after each atom.
Space group R-3m (No. 166, hexagonal axes)
Inequivalent atoms, fractional coordinates:
Cd: 0.0000 0.0000 0.0000 [3 per cell]  12 Cd 3.00-3.07
Cd: 0.0766 0.5383 0.5590 [18 per cell]  6 Cd 2.84-3.14, 1 Hg 2.89
Cd: 0.0926 0.5463 0.3035 [18 per cell]  7 Cd 2.94-3.28
Hg: 0.0000 0.0000 0.2334 [6 per cell]  3 Cd 2.89

=====

[10]
First-principles (PBE) data for an optimized crystal structure of Na3Np2TeSe6, as listed in Alexandria.

Properties
ΔE_f (raw) = -0.880 eV per atom
Total DFT energy (no corrections) = -128.91 eV/cell

Lattice parameters (Å, degrees): 7.2805 12.9901 7.2804 90.00 108.15 90.00
With the nearest neighbours (Å) after each atom.
Space group C2/m (No. 12)
Inequivalent atoms, fractional coordinates:
Na: 0.0000 0.0000 0.0000 [2 per cell]  6 Se 3.05-3.19
Na: 0.0000 0.3461 0.0000 [4 per cell]  6 Se 2.99-3.09
Np: 0.0000 0.1706 0.5000 [4 per cell]  6 Se 2.83-2.95
Te: 0.0000 0.5000 0.5000 [2 per cell]  2 Se 2.86
Se: 0.2351 0.0000 0.7195 [4 per cell]  1 Te 2.86, 2 Np 2.95, 3 Na 3.05-3.07
Se: 0.2373 0.1839 0.2574 [8 per cell]  2 Np 2.83-2.87, 2 Na 2.99-3.09

=====

[11]
First-principles (PBE) data for an optimized crystal structure of LiTaB2Te, as listed in Alexandria.

Properties
ΔE_f (raw) = 1.610 eV per atom
Total DFT energy (no corrections) = -22.21 eV/cell

Lattice parameters (Å, degrees): 3.9859 3.9859 4.6234 90.00 90.00 90.00
With the nearest neighbours (Å) after each atom.
Space group P4/mmm (No. 123)
Inequivalent atoms, fractional coordinates:
Li: 0.0000 0.0000 0.0000 [1 per cell]  4 B 1.99
Ta: 0.0000 0.0000 0.5000 [1 per cell]  2 Li 2.31
B: 0.0000 0.5000 0.0000 [2 per cell]  2 Li 1.99
Te: 0.5000 0.5000 0.5000 [1 per cell]  4 Ta 2.82, 8 B 3.05